## VPt2C2 (GGA-PBE)

Data for a relaxed structure of VPt2C2.

Cell: 4.9981 4.9981 4.9981 Å, 134.10 134.10 66.93°
With the nearest neighbours (Å) after each atom.
Positions (direct):
V 0.0000 0.0000 0.0000  8 C 2.85, 10 Pt 2.86-3.05
Pt 0.3424 0.3424 0.0000  4 C 2.10
Pt 0.6576 0.6576 0.0000  4 C 2.10
C 0.2500 0.7500 0.5000  4 Pt 2.10
C 0.7500 0.2500 0.5000  4 Pt 2.10

Properties
Calculated formation energy   4.9 eV per formula unit
Space group   I4/mmm (139)
Size of the total moment   2.2 μB per cell
N(E_F)   4.44 states/eV/f.u.
Crystal system   tetragonal
E above lowest polymorph   0.000 eV per atom
Mass density   12.194 g cm⁻³